Entry a
DFT (PBE-GGA) results for GaHgBr2 after structural relaxation.

Unit cell a=8.307 b=8.307 c=11.784 alpha=90.00 beta=90.00 gamma=90.00
Space group I-42d (No. 122)
Inequivalent atoms, fractional coordinates:
Ga: 0.000 0.000 0.000
Hg: 0.000 0.000 0.500
Br: 0.002 0.250 0.125


Entry b
DFT (PBE-GGA) results for GaHgBr2 after structural relaxation.

Unit cell a=7.597 b=7.597 c=7.597 alpha=90.00 beta=90.00 gamma=90.00
Space group Fm-3m (No. 225)
Inequivalent atoms, fractional coordinates:
Ga: 0.000 0.000 0.000
Hg: 0.000 0.000 0.500
Br: 0.250 0.250 0.250


Entry c
DFT (PBE-GGA) results for GaHgBr2 after structural relaxation.

Unit cell a=3.8754 b=3.8754 c=33.8641 alpha=90.00 beta=90.00 gamma=120.00
Space group R-3m (No. 166, hexagonal axes)
Inequivalent atoms, fractional coordinates:
Ga: 0.0000 0.0000 0.0000
Hg: 0.0000 0.0000 0.5000
Br: 0.0000 0.0000 0.3820


Entry d
DFT (PBE-GGA) results for GaHgBr2 after structural relaxation.

Unit cell a=4.1345 b=4.1345 c=27.9339 alpha=90.00 beta=90.00 gamma=120.00
Space group R-3m (No. 166, hexagonal axes)
Inequivalent atoms, fractional coordinates:
Ga: 0.0000 0.0000 0.0000
Hg: 0.0000 0.0000 0.5000
Br: 0.0000 0.0000 0.1010


Stability check: which of them is least stable? entry d.


Entry a
DFT (PBE-GGA) results for GaHgBr4 after structural relaxation.

Unit cell a=5.779 b=6.736 c=7.191 alpha=115.62 beta=108.27 gamma=97.01
Space group P1 (No. 1)
Inequivalent atoms, fractional coordinates:
Ga: 0.000 0.000 0.000
Hg: 0.452 0.828 0.286
Br: 0.067 0.684 0.737
Br: 0.361 0.326 0.267
Br: 0.664 0.109 0.831
Br: 0.937 0.851 0.255


Entry b
DFT (PBE-GGA) results for GaHgBr4 after structural relaxation.

Unit cell a=7.106 b=4.012 c=15.157 alpha=90.00 beta=115.96 gamma=90.00
Space group P2_1/c (No. 14)
Inequivalent atoms, fractional coordinates:
Ga: 0.000 0.000 0.000
Hg: 0.500 0.000 0.500
Br: 0.047 0.000 0.383
Br: 0.441 0.004 0.117


Stability check: which of them is least stable? entry b.